# Co2TcF

Crystalline Co2TcF at its relaxed geometry (PBE with a Hubbard U, Alexandria).

Output
Energy above the lowest structure with this stoichiometry ... 0 meV/atom

a b c (Å): 6.5274 6.5274 4.8964
angles (deg): 90.00 90.00 90.00
Atoms (fractional coordinates):
Co  0.2121  0.7500  0.1250
Co  0.2500  0.2121  0.8750
Co  0.2500  0.2879  0.3750
Co  0.2879  0.7500  0.6250
Co  0.7121  0.2500  0.6250
Co  0.7500  0.7121  0.3750
Co  0.7500  0.7879  0.8750
Co  0.7879  0.2500  0.1250
Tc  0.0000  0.0000  0.5000
Tc  0.0000  0.5000  0.7500
Tc  0.5000  0.0000  0.2500
Tc  0.5000  0.5000  0.0000
F  0.0000  0.0000  0.0000
F  0.0000  0.5000  0.2500
F  0.5000  0.0000  0.7500
F  0.5000  0.5000  0.5000